DFT (PBE) results for a relaxed structure of TeAuI2F. Values from VASP.

Results
SG	P4/mmm (123)
formation energy (no corrections)	0.202	eV/atom
excess energy over the best structure of this formula in the dataset	0.000	eV per atom
energy	-2.077	eV/atom

The structure in Quantum ESPRESSO input format:
```
&SYSTEM
  ibrav = 0, nat = 5, ntyp = 4
/
ATOMIC_SPECIES
Te 127.60 Te.upf
Au 196.97 Au.upf
I 126.90 I.upf
F 19.00 F.upf
ATOMIC_POSITIONS angstrom
Te 0.0000 0.0000 0.0000
Au 2.9500 2.9500 0.0000
I 0.0000 2.9500 2.1000
I 2.9500 0.0000 2.1000
F 0.0000 0.0000 2.1000
CELL_PARAMETERS angstrom
5.9000 0.0000 0.0000
0.0000 5.9000 0.0000
0.0000 0.0000 4.1999
```